[1]
{
  "formula": "HoLuGaSn",
  "functional": "GGA-PBE",
  "state": "relaxed",
  "cell": [[5.160, 0.000, 0.000], [2.580, 4.468, 0.000], [2.580, 1.489, 4.213]],
  "species": ["Sn", "Ho", "Lu", "Ga"],
  "fractional_positions": [[0.250, 0.250, 0.250], [0.000, 0.000, 0.000], [0.500, 0.500, 0.500], [0.750, 0.750, 0.750]],
  "total_energy_ev_per_cell": -18.15,
  "sg": "No. 216"
}

[2]
{
  "formula": "TbHoLuGa",
  "functional": "GGA-PBE",
  "state": "relaxed",
  "cell": [[5.282, 0.000, 0.000], [2.641, 4.574, 0.000], [2.641, 1.525, 4.313]],
  "species": ["Lu", "Ga", "Ho", "Tb"],
  "fractional_positions": [[0.750, 0.750, 0.750], [0.250, 0.250, 0.250], [0.500, 0.500, 0.500], [0.000, 0.000, 0.000]],
  "total_energy_ev_per_cell": -17.17,
  "sg": "No. 216"
}

[3]
{
  "formula": "HoLuGaTc",
  "functional": "GGA-PBE",
  "state": "relaxed",
  "cell": [[-4.778, 1.013, 0.111], [-2.952, -2.473, 3.006], [-1.936, 2.222, 3.897]],
  "species": ["Ho", "Lu", "Ga", "Tc"],
  "fractional_positions": [[0.500, 0.500, 0.500], [0.000, 0.000, 0.000], [0.250, 0.250, 0.250], [0.750, 0.750, 0.750]],
  "total_energy_ev_per_cell": -23.62,
  "sg": "No. 216"
}

[4]
{
  "formula": "HoLuZnGa",
  "functional": "GGA-PBE",
  "state": "relaxed",
  "cell": [[-1.913, 4.601, 0.018], [-2.129, 1.829, -4.117], [-4.937, 0.646, -0.175]],
  "species": ["Ga", "Ho", "Lu", "Zn"],
  "fractional_positions": [[0.250, 0.250, 0.250], [0.000, 0.000, 0.000], [0.500, 0.500, 0.500], [0.750, 0.750, 0.750]],
  "total_energy_ev_per_cell": -15.29,
  "sg": "No. 216"
}

[5]
{
  "formula": "HoMg3Ga3",
  "functional": "GGA-PBE",
  "state": "relaxed",
  "cell": [[-6.249, 0.528, 3.684], [-0.357, -7.252, 0.433], [3.705, 0.191, 6.257]],
  "species": ["Mg", "Ho", "Mg", "Ga", "Mg", "Ga", "Ga", "Ho", "Ga", "Ga", "Mg", "Mg", "Ga", "Mg"],
  "fractional_positions": [[0.500, 0.000, 0.250], [0.000, 0.000, 0.000], [0.000, 0.750, 0.500], [0.500, 0.750, 0.000], [0.500, 0.000, 0.750], [0.500, 0.250, 0.000], [0.000, 0.500, 0.250], [0.500, 0.500, 0.500], [0.750, 0.000, 0.500], [0.000, 0.500, 0.750], [0.250, 0.500, 0.000], [0.000, 0.250, 0.500], [0.250, 0.000, 0.500], [0.750, 0.500, 0.000]],
  "total_energy_ev_per_cell": -31.14,
  "sg": "No. 223"
}

[6]
{
  "formula": "Ho4Mg3Ga",
  "functional": "GGA-PBE",
  "state": "relaxed",
  "cell": [[-1.754, 0.105, 3.221], [-1.285, -3.386, -0.589], [12.308, -5.870, 6.894]],
  "species": ["Mg", "Mg", "Ho", "Ho", "Mg", "Ho", "Ho", "Ga"],
  "fractional_positions": [[0.500, 0.500, 0.500], [0.500, 0.500, 0.243], [0.000, 0.000, 0.888], [0.000, 0.000, 0.112], [0.500, 0.500, 0.757], [0.000, 0.000, 0.370], [0.000, 0.000, 0.630], [0.500, 0.500, 0.000]],
  "total_energy_ev_per_cell": -27.76,
  "sg": "No. 123"
}

[7]
{
  "formula": "HoMg8Ga6",
  "functional": "GGA-PBE",
  "state": "relaxed",
  "cell": [[-1.340, 0.585, -8.066], [-3.869, -6.045, -3.961], [-6.783, 0.739, -2.985]],
  "species": ["Ga", "Ga", "Mg", "Mg", "Ho", "Mg", "Ga", "Mg", "Mg", "Ga", "Mg", "Mg", "Ga", "Ga", "Mg"],
  "fractional_positions": [[0.394, 0.058, 0.831], [0.718, 0.394, 0.831], [0.335, 0.335, 0.994], [0.777, 0.110, 0.656], [0.000, 0.000, 0.000], [0.543, 0.223, 0.344], [0.282, 0.606, 0.169], [0.665, 0.665, 0.006], [0.223, 0.890, 0.344], [0.942, 0.282, 0.169], [0.890, 0.543, 0.344], [0.457, 0.777, 0.656], [0.058, 0.718, 0.831], [0.606, 0.942, 0.169], [0.110, 0.457, 0.656]],
  "total_energy_ev_per_cell": -37.03,
  "sg": "No. 148"
}

[8]
{
  "formula": "HoMgGa",
  "functional": "GGA-PBE",
  "state": "relaxed",
  "cell": [[-0.435, -1.794, -2.788], [1.916, -2.431, 1.266], [-5.673, -0.499, 3.211]],
  "species": ["Mg", "Ga", "Ho"],
  "fractional_positions": [[0.637, 0.637, 0.275], [0.278, 0.278, 0.556], [0.934, 0.934, 0.869]],
  "total_energy_ev_per_cell": -10.03,
  "sg": "No. 107"
}

[9]
{
  "formula": "HoMg2Ga",
  "functional": "GGA-PBE",
  "state": "relaxed",
  "cell": [[-1.933, 4.362, 0.005], [-2.879, -1.272, -2.962], [-2.707, -1.203, 3.147]],
  "species": ["Mg", "Ga", "Mg", "Ho"],
  "fractional_positions": [[0.000, 0.000, 0.500], [0.500, 0.500, 0.500], [0.000, 0.500, 0.000], [0.500, 0.000, 0.000]],
  "sg": "No. 123",
  "e_above_lowest_polymorph_mev_per_atom": 0
}

[10]
{
  "formula": "HoMgGa",
  "functional": "GGA-PBE",
  "state": "relaxed",
  "cell": [[-0.923, 4.075, -2.219], [-4.337, 1.879, 0.211], [-0.752, 3.941, 2.507]],
  "species": ["Mg", "Ho", "Ga"],
  "fractional_positions": [[0.000, 0.000, 0.000], [0.500, 0.500, 0.500], [0.250, 0.250, 0.250]],
  "total_energy_ev_per_cell": -10.23,
  "sg": "No. 216"
}

[11]
{
  "formula": "HoMgGa2",
  "functional": "GGA-PBE",
  "state": "relaxed",
  "cell": [[4.469, 0.000, 0.000], [2.234, 3.870, 0.000], [2.234, 1.290, 4.947]],
  "species": ["Mg", "Ga", "Ho", "Ga"],
  "fractional_positions": [[0.500, 0.500, 0.500], [0.775, 0.775, 0.676], [0.000, 0.000, 0.000], [0.225, 0.225, 0.324]],
  "total_energy_ev_per_cell": -13.75,
  "sg": "No. 166"
}

[12]
{
  "formula": "Ho2MgGa",
  "functional": "GGA-PBE",
  "state": "relaxed",
  "cell": [[-4.488, -2.230, -1.139], [-2.839, -2.111, 3.727], [-4.408, 2.215, 1.439]],
  "species": ["Ga", "Mg", "Ho", "Ho"],
  "fractional_positions": [[0.250, 0.250, 0.250], [0.750, 0.750, 0.750], [0.500, 0.500, 0.500], [0.000, 0.000, 0.000]],
  "total_energy_ev_per_cell": -15.12,
  "sg": "No. 225"
}